Computed, not measured: CsCoSbW2 after structural relaxation at the PBE-GGA level of DFT.

Total magnetization in μB/f.u.: 3.57
V in Å³/cell: 119.4
Energy relative to the elements, uncorrected in eV/atom: 3.3619

Cell lengths 5.1007, 5.1007, 4.5889 Å; angles 90.00, 90.00, 90.00 degrees
Space group P4/mmm (No. 123)
Inequivalent atoms, fractional coordinates:
Cs 0.0000 0.0000 0.0000 x1
Co 0.0000 0.0000 0.5000 x1
Sb 0.5000 0.5000 0.5000 x1
W 0.0000 0.5000 0.0000 x2

=====

Computed, not measured: LaNdEr5Tm2 after structural relaxation at the PBE-GGA level of DFT.

Total magnetization in μB/f.u.: 0.00
DFT formation energy in eV per formula unit: 1.5
V in Å³/cell: 1169.8

Cell lengths 5.5783, 19.4564, 10.7782 Å; angles 90.00, 90.00, 90.00 degrees
Space group Cmc2_1 (No. 36)
Inequivalent atoms, fractional coordinates:
La 0.0000 0.2075 0.0000 x4
Nd 0.0000 0.4188 0.4467 x4
Er 0.0000 0.0184 0.0247 x4
Er 0.0000 0.2855 0.2944 x4
Er 0.0000 0.2964 0.6979 x4
Er 0.0000 0.3952 0.0188 x4
Er 0.0000 0.4765 0.7297 x4
Tm 0.0000 0.1059 0.7331 x4
Tm 0.0000 0.1144 0.3137 x4

=====

Computed, not measured: MgCo4Pt after structural relaxation at the PBE-GGA level of DFT.

Total magnetization in μB/f.u.: 6.99
DFT formation energy in eV per formula unit: -0.4
V in Å³/cell: 308.8

Cell lengths 6.7588, 6.7588, 6.7588 Å; angles 90.00, 90.00, 90.00 degrees
Space group F-43m (No. 216)
Inequivalent atoms, fractional coordinates:
Mg 0.0000 0.0000 0.0000 x4
Co 0.1252 0.1252 0.6252 x16
Pt 0.2500 0.2500 0.2500 x4

=====

Computed, not measured: MnFe2H after structural relaxation at the PBE-GGA level of DFT.

Total magnetization in μB/f.u.: 5.52
V in Å³/cell: 72.0
Relative energy among the computed polymorphs in meV/atom: 0

Cell lengths 4.1464, 2.7596, 6.4584 Å; angles 90.00, 102.88, 90.00 degrees
Space group C2/m (No. 12)
Inequivalent atoms, fractional coordinates:
Mn 0.0000 0.0000 0.0000 x2
Fe 0.1064 0.5000 0.3174 x4
H 0.0000 0.0000 0.5000 x2